[1]
A relaxed structure of Ac2Ce3Pt2. Source: Alexandria, functional PBE.

Lattice parameters (Å, degrees): 3.984 6.477 9.201 70.43 77.50 72.09
Each line ends with the local moment (μB).
Atoms (fractional coordinates):
Ac 0.160 0.480 0.200  0.03
Ac 0.840 0.520 0.800  0.03
Ce 0.500 0.000 0.000  0.54
Ce 0.379 0.804 0.438  0.71
Ce 0.621 0.196 0.562  0.71
Pt 0.141 0.943 0.775  -0.01
Pt 0.859 0.057 0.225  -0.01

Crystal system: monoclinic
Calculated volume: 30.162 Å³/atom
DOS at the Fermi energy: 17.62 states/eV/cell
VASP energy: -6.059 eV/atom
Formation energy: -0.616 eV per atom



[2]
A relaxed structure of Ac2CePt9. Source: Alexandria, functional PBE.

Lattice parameters (Å, degrees): 5.519 5.519 9.673 73.43 73.43 60.00
Each line ends with the local moment (μB).
Atoms (fractional coordinates):
Ac 0.862 0.862 0.415  0.01
Ac 0.138 0.138 0.585  0.01
Ce 0.000 0.000 0.000  0.63
Pt 0.667 0.667 0.998  -0.04
Pt 0.333 0.333 0.002  -0.04
Pt 0.500 0.500 0.500  -0.01
Pt 0.417 0.417 0.248  -0.01
Pt 0.919 0.417 0.248  -0.01
Pt 0.417 0.919 0.248  -0.01
Pt 0.583 0.583 0.752  -0.01
Pt 0.583 0.081 0.752  -0.01
Pt 0.081 0.583 0.752  -0.01

Crystal system: trigonal
Calculated volume: 20.076 Å³/atom
DOS at the Fermi energy: 13.96 states/eV/cell
VASP energy: -6.591 eV/atom
Formation energy: -0.881 eV per atom



[3]
A relaxed structure of AcCe2Pt. Source: Alexandria, functional PBE.

Lattice parameters (Å, degrees): 3.895 3.895 10.819 79.63 79.63 60.00
Each line ends with the local moment (μB).
Atoms (fractional coordinates):
Ac 0.000 0.000 0.000  0.11
Ce 0.111 0.111 0.667  0.82
Ce 0.889 0.889 0.333  0.82
Pt 0.500 0.500 0.500  -0.02

Crystal system: trigonal
Calculated volume: 34.760 Å³/atom
DOS at the Fermi energy: 13.60 states/eV/cell
VASP energy: -5.739 eV/atom
Energy relative to the lowest polymorph listed for this composition: 200 meV per atom
Formation energy: -0.234 eV per atom



[4]
A relaxed structure of Ac2CePt. Source: Alexandria, functional PBE.

Lattice parameters (Å, degrees): 3.833 3.833 8.973 90.00 90.00 90.00
Each line ends with the local moment (μB).
Atoms (fractional coordinates):
Ac 0.000 0.000 0.800  0.07
Ac 0.000 0.000 0.200  0.07
Ce 0.500 0.500 0.500  1.10
Pt 0.500 0.500 0.000  0.02

Crystal system: tetragonal
Calculated volume: 32.954 Å³/atom
DOS at the Fermi energy: 7.57 states/eV/cell
VASP energy: -5.438 eV/atom
Energy relative to the lowest polymorph listed for this composition: 0 meV per atom
Formation energy: -0.390 eV per atom



[5]
A relaxed structure of AcCePt. Source: Alexandria, functional PBE.

Lattice parameters (Å, degrees): 4.551 4.770 4.770 120.00 90.00 90.00
Each line ends with the local moment (μB).
Atoms (fractional coordinates):
Ac 0.697 0.667 0.333  0.06
Ce 0.237 0.333 0.667  0.75
Pt 0.066 0.000 0.000  0.00

Crystal system: trigonal
Calculated volume: 29.895 Å³/atom
DOS at the Fermi energy: 8.10 states/eV/cell
VASP energy: -5.892 eV/atom
Energy relative to the lowest polymorph listed for this composition: 197 meV per atom
Formation energy: -0.531 eV per atom



[6]
A relaxed structure of AcCePt. Source: Alexandria, functional PBE.

Lattice parameters (Å, degrees): 4.298 4.477 8.838 90.00 86.45 90.00
Each line ends with the local moment (μB).
Atoms (fractional coordinates):
Ac 0.798 0.866 0.566  0.01
Ac 0.329 0.367 0.273  0.01
Ce 0.864 0.366 0.907  0.27
Ce 0.263 0.866 0.932  0.27
Pt 0.816 0.867 0.193  0.01
Pt 0.311 0.366 0.646  0.01

Crystal system: monoclinic
Calculated volume: 28.293 Å³/atom
DOS at the Fermi energy: 10.57 states/eV/cell
VASP energy: -6.089 eV/atom
Energy relative to the lowest polymorph listed for this composition: 0 meV per atom
Formation energy: -0.728 eV per atom



[7]
A relaxed structure of Ac4CePt4. Source: Alexandria, functional PBE.

Lattice parameters (Å, degrees): 4.379 7.502 9.682 74.96 76.93 73.03
Each line ends with the local moment (μB).
Atoms (fractional coordinates):
Ac 0.700 0.409 0.190  0.00
Ac 0.891 0.824 0.393  -0.01
Ac 0.300 0.591 0.810  0.00
Ac 0.109 0.176 0.607  -0.01
Ce 0.500 0.000 0.000  0.56
Pt 0.299 0.109 0.294  -0.01
Pt 0.701 0.891 0.706  -0.01
Pt 0.909 0.280 0.902  -0.01
Pt 0.091 0.720 0.098  -0.01

Crystal system: monoclinic
Calculated volume: 32.207 Å³/atom
DOS at the Fermi energy: 9.46 states/eV/cell
VASP energy: -6.209 eV/atom
Formation energy: -1.039 eV per atom



[8]
A relaxed structure of Ac2CePt3. Source: Alexandria, functional PBE.

Lattice parameters (Å, degrees): 9.635 9.635 9.635 154.10 154.10 36.95
Each line ends with the local moment (μB).
Atoms (fractional coordinates):
Ac 0.665 0.665 0.000  0.00
Ac 0.335 0.335 0.000  0.00
Ce 0.000 0.000 0.000  0.59
Pt 0.500 0.500 0.000  -0.02
Pt 0.839 0.839 0.000  -0.01
Pt 0.161 0.161 0.000  -0.01

Crystal system: tetragonal
Calculated volume: 28.401 Å³/atom
DOS at the Fermi energy: 7.37 states/eV/cell
VASP energy: -6.484 eV/atom
Formation energy: -1.105 eV per atom



[9]
A relaxed structure of Ac2Ce3Pt4. Source: Alexandria, functional PBE.

Lattice parameters (Å, degrees): 8.097 7.857 7.917 90.00 90.00 110.00
Each line ends with the local moment (μB).
Atoms (fractional coordinates):
Ac 0.579 0.193 0.324  0.03
Ac 0.921 0.807 0.824  0.03
Ac 0.421 0.807 0.676  0.03
Ac 0.079 0.193 0.176  0.03
Ce 0.000 0.500 0.500  0.73
Ce 0.500 0.500 0.000  0.73
Ce 0.750 0.248 0.841  0.62
Ce 0.750 0.752 0.341  0.62
Ce 0.250 0.752 0.159  0.62
Ce 0.250 0.248 0.659  0.62
Pt 0.863 0.093 0.544  -0.01
Pt 0.637 0.907 0.044  -0.01
Pt 0.137 0.907 0.456  -0.01
Pt 0.363 0.093 0.956  -0.01
Pt 0.872 0.503 0.135  -0.01
Pt 0.628 0.497 0.635  -0.01
Pt 0.128 0.497 0.865  -0.01
Pt 0.372 0.503 0.365  -0.01

Crystal system: monoclinic
Calculated volume: 26.293 Å³/atom
DOS at the Fermi energy: 39.82 states/eV/cell
VASP energy: -6.586 eV/atom
Formation energy: -1.010 eV per atom



[10]
A relaxed structure of Ac3CePt4. Source: Alexandria, functional PBE.

Lattice parameters (Å, degrees): 4.324 7.512 7.512 109.54 90.00 90.00
Each line ends with the local moment (μB).
Atoms (fractional coordinates):
Ac 0.000 0.000 0.500  0.00
Ac 0.500 0.500 0.500  0.00
Ac 0.000 0.500 0.000  0.00
Pt 0.000 0.235 0.235  -0.01
Pt 0.500 0.757 0.243  -0.01
Pt 0.000 0.765 0.765  -0.01
Pt 0.500 0.243 0.757  -0.01
Ce 0.500 0.000 0.000  0.51

Crystal system: orthorhombic
Calculated volume: 28.744 Å³/atom
DOS at the Fermi energy: 7.49 states/eV/cell
VASP energy: -6.433 eV/atom
Formation energy: -1.131 eV per atom



[11]
A relaxed structure of Ac2CePt. Source: Alexandria, functional PBE.

Lattice parameters (Å, degrees): 4.068 4.068 11.356 79.68 79.68 60.00
Each line ends with the local moment (μB).
Atoms (fractional coordinates):
Ac 0.111 0.111 0.668  0.02
Ac 0.889 0.889 0.332  0.02
Ce 0.000 0.000 0.000  1.35
Pt 0.500 0.500 0.500  0.01

Crystal system: trigonal
Calculated volume: 39.801 Å³/atom
DOS at the Fermi energy: 10.56 states/eV/cell
VASP energy: -5.245 eV/atom
Energy relative to the lowest polymorph listed for this composition: 193 meV per atom
Formation energy: -0.197 eV per atom



[12]
A relaxed structure of AcCe3Pt2. Source: Alexandria, functional PBE.

Lattice parameters (Å, degrees): 4.701 9.141 8.502 114.71 90.00 104.90
Atoms (fractional coordinates):
Ac 0.851 0.701 0.951
Ac 0.149 0.299 0.049
Ce 0.307 0.614 0.564
Ce 0.954 0.908 0.624
Ce 0.604 0.209 0.644
Ce 0.396 0.791 0.356
Ce 0.046 0.092 0.376
Ce 0.693 0.386 0.436
Pt 0.492 0.983 0.833
Pt 0.508 0.017 0.167
Pt 0.791 0.583 0.251
Pt 0.209 0.417 0.749

Crystal system: monoclinic
Calculated volume: 26.529 Å³/atom
DOS at the Fermi energy: 23.99 states/eV/cell
VASP energy: -6.308 eV/atom
Formation energy: -0.643 eV per atom



VASP energy of number 11 (Ac2CePt)? -5.245 eV/atom



Repeat the first record exactly.
A relaxed structure of Ac2Ce3Pt2. Source: Alexandria, functional PBE.

Lattice parameters (Å, degrees): 3.984 6.477 9.201 70.43 77.50 72.09
Each line ends with the local moment (μB).
Atoms (fractional coordinates):
Ac 0.160 0.480 0.200  0.03
Ac 0.840 0.520 0.800  0.03
Ce 0.500 0.000 0.000  0.54
Ce 0.379 0.804 0.438  0.71
Ce 0.621 0.196 0.562  0.71
Pt 0.141 0.943 0.775  -0.01
Pt 0.859 0.057 0.225  -0.01

Crystal system: monoclinic
Calculated volume: 30.162 Å³/atom
DOS at the Fermi energy: 17.62 states/eV/cell
VASP energy: -6.059 eV/atom
Formation energy: -0.616 eV per atom